First-principles (PBE-GGA) data for CdRuBr2 after structural relaxation, as listed in Alexandria via LeMat-Bulk.

a b c (Å): 3.427 4.404 6.145
angles (deg): 90.00 90.00 90.00
Space group Pmmm (No. 47)
Symmetry-distinct sites (fractional):
1 Cd 0.000 0.000 0.000 (multiplicity 1)
2 Ru 0.500 0.000 0.500 (multiplicity 1)
3 Br 0.000 0.500 0.500 (multiplicity 1)
4 Br 0.500 0.500 0.000 (multiplicity 1)

## Properties
Crystal system: orthorhombic
Excess energy over the best structure of this formula in the dataset, meV/atom: 576
E_form (uncorrected), meV/atom: 544


First-principles (PBE-GGA) data for Nb4SnN after structural relaxation, as listed in Alexandria via LeMat-Bulk.

a b c (Å): 8.082 5.322 5.460
angles (deg): 90.00 115.89 90.00
Space group C2/m (No. 12)
Symmetry-distinct sites (fractional):
1 Nb 0.135 0.000 0.419 (multiplicity 4)
2 Nb 0.250 0.250 0.000 (multiplicity 4)
3 Sn 0.000 0.500 0.500 (multiplicity 2)
4 N 0.000 0.000 0.000 (multiplicity 2)

## Properties
Crystal system: monoclinic
E_form (uncorrected), meV/atom: -183


First-principles (PBE-GGA) data for CaZr2 after structural relaxation, as listed in Alexandria via LeMat-Bulk.

a b c (Å): 3.221 3.221 16.057
angles (deg): 90.00 90.00 90.00
Space group I4/mmm (No. 139)
Symmetry-distinct sites (fractional):
1 Ca 0.000 0.000 0.000 (multiplicity 2)
2 Zr 0.000 0.000 0.315 (multiplicity 4)

## Properties
Crystal system: tetragonal
Excess energy over the best structure of this formula in the dataset, meV/atom: 31


First-principles (PBE-GGA) data for ZrScCo2 after structural relaxation, as listed in Alexandria via LeMat-Bulk.

a b c (Å): 6.331 6.331 6.331
angles (deg): 90.00 90.00 90.00
Space group Fm-3m (No. 225)
Symmetry-distinct sites (fractional):
1 Zr 0.000 0.000 0.000 (multiplicity 4)
2 Sc 0.000 0.000 0.500 (multiplicity 4)
3 Co 0.250 0.250 0.250 (multiplicity 8)

## Properties
Crystal system: cubic
DFT total energy, eV/atom: -7.616


First-principles (PBE-GGA) data for NbB2I after structural relaxation, as listed in Alexandria via LeMat-Bulk.

a b c (Å): 6.124 6.124 6.124
angles (deg): 90.00 90.00 90.00
Space group Fm-3m (No. 225)
Symmetry-distinct sites (fractional):
1 Nb 0.000 0.000 0.000 (multiplicity 4)
2 B 0.250 0.250 0.250 (multiplicity 8)
3 I 0.000 0.000 0.500 (multiplicity 4)

## Properties
Crystal system: cubic
Excess energy over the best structure of this formula in the dataset, meV/atom: 478
E_form (uncorrected), meV/atom: 1770


First-principles (PBE-GGA) data for ZrAl3Os after structural relaxation, as listed in Alexandria via LeMat-Bulk.

a b c (Å): 4.651 4.651 4.651
angles (deg): 90.00 90.00 90.00
Space group Pm-3m (No. 221)
Symmetry-distinct sites (fractional):
1 Zr 0.000 0.000 0.000 (multiplicity 1)
2 Al 0.000 0.500 0.500 (multiplicity 3)
3 Os 0.500 0.500 0.500 (multiplicity 1)

## Properties
Crystal system: cubic
Excess energy over the best structure of this formula in the dataset, meV/atom: 0


First-principles (PBE-GGA) data for MgZr2In after structural relaxation, as listed in Alexandria via LeMat-Bulk.

a b c (Å): 7.154 7.154 7.154
angles (deg): 90.00 90.00 90.00
Space group F-43m (No. 216)
Symmetry-distinct sites (fractional):
1 Mg 0.000 0.000 0.000 (multiplicity 4)
2 Zr 0.000 0.000 0.500 (multiplicity 4)
3 Zr 0.250 0.250 0.750 (multiplicity 4)
4 In 0.250 0.250 0.250 (multiplicity 4)

## Properties
Crystal system: cubic
DFT total energy, eV/atom: -5.233


First-principles (PBE-GGA) data for Cd2ReP after structural relaxation, as listed in Alexandria via LeMat-Bulk.

a b c (Å): 8.298 2.958 8.407
angles (deg): 90.00 119.46 90.00
Space group Cm (No. 8)
Symmetry-distinct sites (fractional):
1 Cd 0.000 0.000 0.000 (multiplicity 2)
2 Cd 0.172 0.500 0.343 (multiplicity 2)
3 Re 0.386 0.000 0.671 (multiplicity 2)
4 P 0.099 0.000 0.671 (multiplicity 2)

## Properties
Crystal system: monoclinic
DFT total energy, eV/atom: -4.807


First-principles (PBE-GGA) data for Rb3Mg2CuBr9 after structural relaxation, as listed in Alexandria via LeMat-Bulk.

a b c (Å): 7.5434 7.5434 9.3050
angles (deg): 90.00 90.00 120.00
Space group P-3m1 (No. 164)
Symmetry-distinct sites (fractional):
1 Rb 0.0000 0.0000 0.0000 (multiplicity 1)
2 Rb 0.3333 0.6667 0.6628 (multiplicity 2)
3 Mg 0.3333 0.6667 0.1673 (multiplicity 2)
4 Cu 0.0000 0.0000 0.5000 (multiplicity 1)
5 Br 0.0000 0.5000 0.0000 (multiplicity 3)
6 Br 0.1650 0.3300 0.3381 (multiplicity 6)

## Properties
Crystal system: trigonal
E_form (uncorrected), meV/atom: -1295


First-principles (PBE-GGA) data for NaLaCuH after structural relaxation, as listed in Alexandria via LeMat-Bulk.

a b c (Å): 4.156 4.095 5.865
angles (deg): 90.00 109.56 90.00
Space group Pm (No. 6)
Symmetry-distinct sites (fractional):
1 Na 0.000 0.000 0.000 (multiplicity 1)
2 La 0.302 0.500 0.567 (multiplicity 1)
3 Cu 0.714 0.000 0.422 (multiplicity 1)
4 H 0.277 0.000 0.386 (multiplicity 1)

## Properties
Crystal system: monoclinic
Excess energy over the best structure of this formula in the dataset, meV/atom: 65


First-principles (PBE-GGA) data for MgTeN2 after structural relaxation, as listed in Alexandria via LeMat-Bulk.

a b c (Å): 3.3879 3.3879 18.0410
angles (deg): 90.00 90.00 120.00
Space group R-3m (No. 166, hexagonal axes)
Symmetry-distinct sites (fractional):
1 Mg 0.0000 0.0000 0.0000 (multiplicity 3)
2 Te 0.0000 0.0000 0.5000 (multiplicity 3)
3 N 0.0000 0.0000 0.3911 (multiplicity 6)

## Properties
Crystal system: trigonal
Excess energy over the best structure of this formula in the dataset, meV/atom: 429
E_form (uncorrected), meV/atom: 518


First-principles (PBE-GGA) data for Tl8SnPb2 after structural relaxation, as listed in Alexandria via LeMat-Bulk.

a b c (Å): 17.738 5.176 7.520
angles (deg): 90.00 103.35 90.00
Space group C2/m (No. 12)
Symmetry-distinct sites (fractional):
1 Tl 0.045 0.000 0.233 (multiplicity 4)
2 Tl 0.090 0.500 0.947 (multiplicity 4)
3 Tl 0.137 0.000 0.680 (multiplicity 4)
4 Tl 0.179 0.500 0.414 (multiplicity 4)
5 Sn 0.000 0.500 0.500 (multiplicity 2)
6 Pb 0.225 0.000 0.130 (multiplicity 4)

## Properties
Crystal system: monoclinic
Excess energy over the best structure of this formula in the dataset, meV/atom: 0


First-principles (PBE-GGA) data for YHo2Tm3S6 after structural relaxation, as listed in Alexandria via LeMat-Bulk.

a b c (Å): 16.852 3.859 7.767
angles (deg): 90.00 103.59 90.00
Space group C2/m (No. 12)
Symmetry-distinct sites (fractional):
1 Y 0.000 0.000 0.000 (multiplicity 2)
2 Ho 0.167 0.500 0.333 (multiplicity 4)
3 Tm 0.000 0.000 0.500 (multiplicity 2)
4 Tm 0.166 0.500 0.833 (multiplicity 4)
5 S 0.001 0.500 0.745 (multiplicity 4)
6 S 0.166 0.000 0.586 (multiplicity 4)
7 S 0.169 0.000 0.081 (multiplicity 4)

## Properties
Crystal system: monoclinic
E_form (uncorrected), meV/atom: -1956


First-principles (PBE-GGA) data for Y4Ga2O after structural relaxation, as listed in Alexandria via LeMat-Bulk.

a b c (Å): 6.387 6.777 8.439
angles (deg): 90.00 109.14 90.00
Space group P2_1/m (No. 11)
Symmetry-distinct sites (fractional):
1 Y 0.014 0.002 0.264 (multiplicity 4)
2 Y 0.400 0.750 0.073 (multiplicity 2)
3 Y 0.438 0.750 0.637 (multiplicity 2)
4 Ga 0.196 0.250 0.035 (multiplicity 2)
5 Ga 0.267 0.250 0.574 (multiplicity 2)
6 O 0.227 0.750 0.801 (multiplicity 2)

## Properties
Crystal system: monoclinic
Excess energy over the best structure of this formula in the dataset, meV/atom: 0
E_form (uncorrected), meV/atom: -1193


First-principles (PBE-GGA) data for PaGaPt after structural relaxation, as listed in Alexandria via LeMat-Bulk.

a b c (Å): 13.383 3.908 6.990
angles (deg): 90.00 90.00 90.00
Space group Pmma (No. 51)
Symmetry-distinct sites (fractional):
1 Pa 0.042 0.000 0.230 (multiplicity 4)
2 Pa 0.250 0.000 0.621 (multiplicity 2)
3 Ga 0.130 0.500 0.917 (multiplicity 4)
4 Ga 0.250 0.500 0.275 (multiplicity 2)
5 Pt 0.101 0.500 0.536 (multiplicity 4)
6 Pt 0.250 0.000 0.035 (multiplicity 2)

## Properties
Crystal system: orthorhombic
DFT total energy, eV/atom: -6.990


First-principles (PBE-GGA) data for LiPmHo2S4 after structural relaxation, as listed in Alexandria via LeMat-Bulk.

a b c (Å): 6.781 3.902 6.792
angles (deg): 90.00 109.30 90.00
Space group P2/m (No. 10)
Symmetry-distinct sites (fractional):
1 Li 0.000 0.000 0.000 (multiplicity 1)
2 Pm 0.500 0.500 0.000 (multiplicity 1)
3 Ho 0.000 0.500 0.500 (multiplicity 1)
4 Ho 0.500 0.000 0.500 (multiplicity 1)
5 S 0.239 0.000 0.744 (multiplicity 2)
6 S 0.245 0.500 0.253 (multiplicity 2)

## Properties
Crystal system: monoclinic
E_form (uncorrected), meV/atom: -1931


First-principles (PBE-GGA) data for CaAu after structural relaxation, as listed in Alexandria via LeMat-Bulk.

a b c (Å): 7.711 9.300 11.937
angles (deg): 90.00 90.00 90.00
Space group Fddd (No. 70, origin choice 2)
Symmetry-distinct sites (fractional):
1 Ca 0.125 0.333 0.125 (multiplicity 16)
2 Au 0.063 0.375 0.875 (multiplicity 16)

## Properties
Crystal system: orthorhombic
DFT total energy, eV/atom: -3.347


First-principles (PBE-GGA) data for AgSe2S2 after structural relaxation, as listed in Alexandria via LeMat-Bulk.

a b c (Å): 3.572 3.572 17.436
angles (deg): 90.00 90.00 90.00
Space group I4/mmm (No. 139)
Symmetry-distinct sites (fractional):
1 Ag 0.000 0.000 0.000 (multiplicity 2)
2 Se 0.000 0.000 0.430 (multiplicity 4)
3 S 0.000 0.500 0.250 (multiplicity 4)

## Properties
Crystal system: tetragonal
Excess energy over the best structure of this formula in the dataset, meV/atom: 326
E_form (uncorrected), meV/atom: 405


First-principles (PBE-GGA) data for LaTb2DyY after structural relaxation, as listed in Alexandria via LeMat-Bulk.

a b c (Å): 8.468 11.584 7.254
angles (deg): 90.00 90.00 90.00
Space group Cmcm (No. 63)
Symmetry-distinct sites (fractional):
1 La 0.000 0.231 0.250 (multiplicity 4)
2 Tb 0.190 0.000 0.000 (multiplicity 8)
3 Dy 0.000 0.221 0.750 (multiplicity 4)
4 Y 0.000 0.499 0.750 (multiplicity 4)

## Properties
Crystal system: orthorhombic
DFT total energy, eV/atom: -4.681


First-principles (PBE-GGA) data for Nd3Y6Ho2Er after structural relaxation, as listed in Alexandria via LeMat-Bulk.

a b c (Å): 6.218 10.764 11.854
angles (deg): 90.00 100.04 90.00
Space group C2/m (No. 12)
Symmetry-distinct sites (fractional):
1 Nd 0.000 0.000 0.000 (multiplicity 2)
2 Nd 0.000 0.333 0.000 (multiplicity 4)
3 Y 0.249 0.000 0.746 (multiplicity 4)
4 Y 0.249 0.333 0.746 (multiplicity 8)
5 Ho 0.000 0.167 0.500 (multiplicity 4)
6 Er 0.000 0.500 0.500 (multiplicity 2)

## Properties
Crystal system: monoclinic
DFT total energy, eV/atom: -5.548